Be2SiI: optimized geometry, PBE.

Geometry as POSCAR:
```
Be2SiI
1.0
-2.7576 2.7576 5.4389
2.7576 -2.7576 5.4389
2.7576 2.7576 -5.4389
Be Si I
4 2 2
Direct
0.0761 0.6250 0.9511 Be
0.3750 0.3261 0.4511 Be
0.6739 0.1250 0.0489 Be
0.8750 0.9239 0.5489 Be
0.0000 0.0000 0.0000 Si
0.7500 0.2500 0.5000 Si
0.2500 0.7500 0.5000 I
0.5000 0.5000 0.0000 I
```

## Properties
- space-group type = No. 122
- electronic total energy (eV/cell) = -25.34
- magnetic moment (μB per atom) = 0.000
- energy relative to the lowest polymorph listed for this composition (meV per atom) = 0
- formation energy from raw total energies (meV per atom) = 439